# 1
Entry from the Alexandria database: Ba2Zn3SnPt4 after structural relaxation (GGA-PBE).

The space group is P-4m2 (No. 115) and the conventional cell measures 4.512, 4.512 and 10.879 Å, with angles of 90.00, 90.00 and 90.00 degrees. Symmetry generates all atoms from Ba at (0.000, 0.500, 0.235), Zn at (0.000, 0.500, 0.877), Zn at (0.500, 0.500, 0.500), Sn at (0.000, 0.000, 0.500), Pt at (0.000, 0.000, 0.000), Pt at (0.000, 0.500, 0.635) and Pt at (0.500, 0.500, 0.000).

The density is 10.27 g/cm³. The calculation puts the density of states at the Fermi level at 4.12 states/eV per cell. The final energy comes out at -42.3 eV/cell.

# 2
Entry from the Alexandria database: K2BaH after structural relaxation (GGA-PBE).

The space group is I-42d (No. 122) and the conventional cell measures 8.409, 8.409 and 11.858 Å, with angles of 90.00, 90.00 and 90.00 degrees. Symmetry generates all atoms from K at (0.003, 0.250, 0.125), Ba at (0.000, 0.000, 0.500) and H at (0.000, 0.000, 0.000).

The density is 1.72 g/cm³. The calculation puts the density of states at the Fermi level at 14.40 states/eV per cell. The relative energy among the computed polymorphs is 1.848 kcal/mol of atoms.

# 3
Entry from the Alexandria database: AcNd3Sm after structural relaxation (GGA-PBE).

The space group is C2/m (No. 12) and the conventional cell measures 18.994, 5.291 and 7.458 Å, with angles of 90.00, 101.01 and 90.00 degrees. Symmetry generates all atoms from Ac at (0.198, 0.000, 0.344), Nd at (0.002, 0.000, 0.754), Nd at (0.097, 0.500, 0.549), Nd at (0.198, 0.000, 0.850) and Sm at (0.098, 0.500, 0.046).

The density is 7.31 g/cm³. The calculation puts the density of states at the Fermi level at 33.73 states/eV per cell. The relative energy among the computed polymorphs is 0.000 kcal/mol of atoms.

# 4
Entry from the Alexandria database: Au5C after structural relaxation (GGA-PBE).

The space group is P4/mmm (No. 123) and the conventional cell measures 2.947, 2.947 and 11.310 Å, with angles of 90.00, 90.00 and 90.00 degrees. Symmetry generates all atoms from Au at (0.000, 0.000, 0.000), Au at (0.000, 0.000, 0.373), Au at (0.500, 0.500, 0.185) and C at (0.500, 0.500, 0.500).

The density is 16.86 g/cm³. The calculation puts the density of states at the Fermi level at 1.09 states/eV per cell. The relative energy among the computed polymorphs is 3.827 kcal/mol of atoms.

# 5
Entry from the Alexandria database: Tm5Sb2Te after structural relaxation (GGA-PBE).

The space group is Cmcm (No. 63) and the conventional cell measures 5.989, 12.430 and 13.326 Å, with angles of 90.00, 90.00 and 90.00 degrees. Symmetry generates all atoms from Tm at (0.000, 0.053, 0.111), Tm at (0.000, 0.354, 0.750), Tm at (0.000, 0.378, 0.060), Sb at (0.000, 0.185, 0.583) and Te at (0.000, 0.243, 0.250).

The calculation puts the raw formation energy at -0.59 eV/atom. The density is 8.14 g/cm³. The calculation puts the density of states at the Fermi level at 25.09 states/eV per cell.

# 6
Entry from the Alexandria database: YPuIn after structural relaxation (GGA-PBE).

The space group is P3m1 (No. 156) and the conventional cell measures 5.3236, 5.3236 and 3.3589 Å, with angles of 90.00, 90.00 and 120.00 degrees. Symmetry generates all atoms from Y at (0.0000, 0.0000, 0.0000), Pu at (0.3333, 0.6667, 0.3964) and In at (0.6667, 0.3333, 0.7055).

The density is 9.02 g/cm³. The calculation puts the density of states at the Fermi level at 6.58 states/eV per cell. The relative energy among the computed polymorphs is 0.000 kcal/mol of atoms.

# 7
Entry from the Alexandria database: La3TlN after structural relaxation (GGA-PBE).

The space group is I-4m2 (No. 119) and the conventional cell measures 5.385, 5.385 and 25.744 Å, with angles of 90.00, 90.00 and 90.00 degrees. Symmetry generates all atoms from La at (0.000, 0.000, 0.190), La at (0.000, 0.243, 0.623), Tl at (0.000, 0.000, 0.500), Tl at (0.000, 0.500, 0.750) and N at (0.000, 0.500, 0.150).

The calculation puts the raw formation energy at 0.66 eV/atom. The density is 5.65 g/cm³. The calculation puts the density of states at the Fermi level at 25.32 states/eV per cell.

# 8
Entry from the Alexandria database: HgRu2Pt after structural relaxation (GGA-PBE).

The space group is F-43m (No. 216) and the conventional cell measures 6.407, 6.407 and 6.407 Å, with angles of 90.00, 90.00 and 90.00 degrees. Symmetry generates all atoms from Hg at (0.000, 0.000, 0.000), Ru at (0.000, 0.000, 0.500), Ru at (0.250, 0.250, 0.750) and Pt at (0.250, 0.250, 0.250).

The density is 15.09 g/cm³. The calculation puts the density of states at the Fermi level at 22.06 states/eV per cell. The final energy comes out at -90.5 eV/cell.

# 9
Entry from the Alexandria database: MgScW after structural relaxation (GGA-PBE).

The space group is F-43m (No. 216) and the conventional cell measures 6.605, 6.605 and 6.605 Å, with angles of 90.00, 90.00 and 90.00 degrees. Symmetry generates all atoms from Mg at (0.000, 0.000, 0.000), Sc at (0.000, 0.000, 0.500) and W at (0.250, 0.250, 0.750).

The density is 5.83 g/cm³. The calculation puts the density of states at the Fermi level at 14.15 states/eV per cell. The relative energy among the computed polymorphs is 21.758 kcal/mol of atoms.

# 10
Entry from the Alexandria database: TaTl2 after structural relaxation (GGA-PBE).

The space group is I4_1/amd (No. 141, origin choice 2) and the conventional cell measures 3.063, 3.063 and 29.906 Å, with angles of 90.00, 90.00 and 90.00 degrees. Symmetry generates all atoms from Ta at (0.000, 0.250, 0.375) and Tl at (0.000, 0.250, 0.799).

The density is 13.96 g/cm³. The calculation puts the density of states at the Fermi level at 9.02 states/eV per cell. The relative energy among the computed polymorphs is 3.558 kcal/mol of atoms.

# 11
Entry from the Alexandria database: TbCe2Mg2In2 after structural relaxation (GGA-PBE).

The space group is R-3m (No. 166, hexagonal axes) and the conventional cell measures 4.8660, 4.8660 and 26.6203 Å, with angles of 90.00, 90.00 and 120.00 degrees. Symmetry generates all atoms from Tb at (0.0000, 0.0000, 0.0000), Ce at (0.0000, 0.0000, 0.1430), Mg at (0.0000, 0.0000, 0.4075) and In at (0.0000, 0.0000, 0.2694).

The density is 6.55 g/cm³. The calculation puts the density of states at the Fermi level at 36.67 states/eV per cell. The final energy comes out at -79.4 eV/cell.

# 12
Entry from the Alexandria database: Th5Sn2Ir after structural relaxation (GGA-PBE).

The space group is Cmcm (No. 63) and the conventional cell measures 5.706, 15.668 and 12.881 Å, with angles of 90.00, 90.00 and 90.00 degrees. Symmetry generates all atoms from Th at (0.000, 0.071, 0.095), Th at (0.000, 0.301, 0.053), Th at (0.000, 0.320, 0.750), Sn at (0.000, 0.136, 0.634) and Ir at (0.000, 0.193, 0.250).

The density is 9.17 g/cm³. The calculation puts the density of states at the Fermi level at 51.34 states/eV per cell. The final energy comes out at -216.2 eV/cell.

Copy entry 10 word for word.
Entry from the Alexandria database: TaTl2 after structural relaxation (GGA-PBE).

The space group is I4_1/amd (No. 141, origin choice 2) and the conventional cell measures 3.063, 3.063 and 29.906 Å, with angles of 90.00, 90.00 and 90.00 degrees. Symmetry generates all atoms from Ta at (0.000, 0.250, 0.375) and Tl at (0.000, 0.250, 0.799).

The density is 13.96 g/cm³. The calculation puts the density of states at the Fermi level at 9.02 states/eV per cell. The relative energy among the computed polymorphs is 3.558 kcal/mol of atoms.

- What is the formula in the tenth record?
  TaTl2